(1)
## LiNpTeO2 (PBE)

Data for a geometry-optimized LiNpTeO2 structure.

abc: 3.844 3.844 6.820
angles: 106.37 106.37 90.00
Last column: magnetic moment on the atom in μB.
Positions (direct):
Np1 0.826 0.826 0.652  2.62
Li1 0.191 0.191 0.382  0.00
Te1 0.481 0.481 0.961  -0.18
O1 0.251 0.751 0.502  -0.10
O2 0.751 0.251 0.502  -0.10

Summary:
For the formation energy without anion corrections, the calculation gives -10.085 eV/f.u. Its space group is I4mm (107). For the total energy, the calculation gives -38.0 eV/cell. As for the magnetization: 2.17 μB/f.u.

(2)
## LiNp2TeO8 (PBE)

Data for a geometry-optimized LiNp2TeO8 structure.

abc: 4.927 4.928 6.905
angles: 90.00 90.00 88.47
Last column: magnetic moment on the atom in μB.
Positions (direct):
O1 0.796 0.205 0.759  -0.06
Np1 0.500 0.500 0.256  1.76
O2 0.796 0.205 0.241  -0.06
Te1 0.000 0.000 0.000  -0.01
O3 0.204 0.795 0.759  -0.06
O4 0.306 0.306 0.000  -0.06
O5 0.694 0.694 0.000  -0.06
O6 0.204 0.795 0.241  -0.06
Li1 0.000 0.000 0.500  0.00
O7 0.320 0.319 0.500  -0.08
Np2 0.500 0.500 0.744  1.76
O8 0.680 0.681 0.500  -0.08

Summary:
For the formation energy without anion corrections, the calculation gives -26.751 eV/f.u. Its space group is Cmmm (65). For the total energy, the calculation gives -97.4 eV/cell. As for the magnetization: 3.00 μB/f.u.

(3)
## LiNpTe2O8 (PBE)

Data for a geometry-optimized LiNpTe2O8 structure.

abc: 5.123 5.394 7.152
angles: 82.36 100.05 98.93
Positions (direct):
O1 0.840 0.046 0.203
Te1 0.510 0.482 0.727
O2 0.291 0.296 0.066
O3 0.323 0.297 0.467
Np1 0.000 0.000 0.000
Te2 0.490 0.518 0.273
O4 0.770 0.257 0.786
O5 0.709 0.704 0.934
O6 0.160 0.954 0.797
O7 0.230 0.743 0.214
O8 0.677 0.703 0.533
Li1 0.000 0.000 0.500

Summary:
For the formation energy without anion corrections, the calculation gives -20.662 eV/f.u. Its space group is P-1 (2). For the total energy, the calculation gives -81.5 eV/cell. As for the magnetization: 0.00 μB/f.u.

(4)
## LiThNpO6 (PBE)

Data for a geometry-optimized LiThNpO6 structure.

abc: 5.147 5.147 10.219
angles: 90.00 90.00 90.00
Positions (direct):
Li1 0.500 0.500 0.155
Li2 0.000 0.000 0.655
O1 0.321 0.321 0.686
Th1 0.500 0.500 0.494
O2 0.821 0.179 0.186
Np1 0.500 0.500 0.836
O3 0.780 0.220 0.835
O4 0.179 0.821 0.186
O5 0.317 0.317 0.987
Np2 0.000 0.000 0.336
O6 0.720 0.720 0.335
O7 0.280 0.280 0.335
O8 0.183 0.817 0.487
Th2 0.000 0.000 0.994
O9 0.220 0.780 0.835
O10 0.683 0.683 0.987
O11 0.817 0.183 0.487
O12 0.679 0.679 0.686

Summary:
For the formation energy without anion corrections, the calculation gives -25.494 eV/f.u. Its space group is P4_2nm (102). For the total energy, the calculation gives -155.0 eV/cell. As for the magnetization: 0.00 μB/f.u.

(5)
## LiNpTiO6 (PBE)

Data for a geometry-optimized LiNpTiO6 structure.

abc: 5.360 5.360 9.381
angles: 90.00 90.00 120.00
Positions (direct):
O1 0.638 0.006 0.361
O2 0.632 0.638 0.639
O3 0.368 0.362 0.361
O4 0.362 0.994 0.639
Ti1 0.333 0.667 0.750
O5 0.638 0.632 0.139
Np1 0.333 0.667 0.250
Ti2 0.667 0.333 0.250
O6 0.994 0.632 0.361
O7 0.994 0.362 0.139
Np2 0.667 0.333 0.750
O8 0.368 0.006 0.139
O9 0.006 0.368 0.639
Li1 0.000 0.000 0.500
O10 0.362 0.368 0.861
O11 0.632 0.994 0.861
O12 0.006 0.638 0.861
Li2 0.000 0.000 0.000

Summary:
For the formation energy without anion corrections, the calculation gives -23.079 eV/f.u. Its space group is P-31c (163). For the total energy, the calculation gives -151.2 eV/cell. As for the magnetization: 0.00 μB/f.u.

(6)
## LiNp3Tl2O12 (PBE)

Data for a geometry-optimized LiNp3Tl2O12 structure.

abc: 7.453 7.453 7.453
angles: 64.15 64.15 64.15
Positions (direct):
O1 0.323 0.323 0.928
O2 0.675 0.062 0.062
Tl1 0.611 0.611 0.611
O3 0.938 0.938 0.325
O4 0.677 0.072 0.677
O5 0.938 0.325 0.938
O6 0.062 0.675 0.062
O7 0.928 0.323 0.323
Np1 0.500 0.000 0.000
O8 0.072 0.677 0.677
Np2 0.000 0.500 0.000
O9 0.323 0.928 0.323
O10 0.062 0.062 0.675
Np3 0.000 0.000 0.500
O11 0.325 0.938 0.938
Tl2 0.389 0.389 0.389
O12 0.677 0.677 0.072
Li1 0.000 0.000 0.000

Summary:
For the formation energy without anion corrections, the calculation gives -39.806 eV/f.u. Its space group is R-3m (166). For the total energy, the calculation gives -144.8 eV/cell. As for the magnetization: 0.00 μB/f.u.

(7)
## LiNpTlO5 (PBE)

Data for a geometry-optimized LiNpTlO5 structure.

abc: 6.192 6.192 8.112
angles: 103.81 103.81 116.23
Last column: magnetic moment on the atom in μB.
Positions (direct):
Np1 0.000 0.000 0.000  1.17
Li1 0.700 0.300 0.250  0.00
Np2 0.000 0.000 0.500  1.17
O1 0.345 0.965 0.633  -0.02
O2 0.640 0.795 0.933  -0.04
O3 0.795 0.640 0.433  -0.04
O4 0.965 0.345 0.133  -0.02
O5 0.205 0.360 0.567  -0.04
O6 0.360 0.205 0.067  -0.04
O7 0.927 0.073 0.750  -0.05
Li2 0.300 0.700 0.750  0.00
O8 0.073 0.927 0.250  -0.05
Tl1 0.703 0.297 0.750  0.00
O9 0.655 0.035 0.367  -0.02
Tl2 0.297 0.703 0.250  0.00
O10 0.035 0.655 0.867  -0.02

Summary:
For the formation energy without anion corrections, the calculation gives -15.627 eV/f.u. Its space group is C2/c (15). For the total energy, the calculation gives -115.3 eV/cell. As for the magnetization: 1.01 μB/f.u.

(8)
## Li2NpTl2O6 (PBE)

Data for a geometry-optimized Li2NpTl2O6 structure.

abc: 6.039 6.039 6.411
angles: 61.90 61.90 60.00
Positions (direct):
Tl1 0.783 0.783 0.652
O1 0.233 0.771 0.225
Li1 0.409 0.409 0.772
Li2 0.591 0.591 0.228
O2 0.771 0.233 0.225
Np1 0.000 0.000 0.000
Tl2 0.217 0.217 0.348
O3 0.767 0.229 0.775
O4 0.771 0.771 0.225
O5 0.229 0.229 0.775
O6 0.229 0.767 0.775

Summary:
For the formation energy without anion corrections, the calculation gives -18.928 eV/f.u. Its space group is R-3m (166). For the total energy, the calculation gives -70.2 eV/cell. As for the magnetization: 0.00 μB/f.u.